No. 1
# SiSnBiCl2 | Alexandria | PBE | optimized geometry
data_SiSnBiCl2
_cell_length_a 5.1176
_cell_length_b 5.1176
_cell_length_c 6.2529
_cell_angle_alpha 90.00
_cell_angle_beta 90.00
_cell_angle_gamma 90.00
_space_group_name_H-M_alt 'P 4/m m m'
_space_group_IT_number 123
_space_group_name_Hall '-P 4 2'
loop_
_atom_site_label
_atom_site_fract_x
_atom_site_fract_y
_atom_site_fract_z
Si1 0.0000 0.0000 0.0000
Sn1 0.5000 0.5000 0.5000
Bi1 0.5000 0.5000 0.0000
Cl1 0.0000 0.5000 0.5000
# uncorrected formation energy	0.233	eV/atom
# raw total energy	-3.167	eV per atom
# V	32.75	Å³ per atom

---

No. 2
# Y2SiBiCl | Alexandria | PBE | optimized geometry
data_Y2SiBiCl
_cell_length_a 5.5070
_cell_length_b 5.5070
_cell_length_c 5.2449
_cell_angle_alpha 90.00
_cell_angle_beta 90.00
_cell_angle_gamma 90.00
_space_group_name_H-M_alt 'P 4/m m m'
_space_group_IT_number 123
_space_group_name_Hall '-P 4 2'
loop_
_atom_site_label
_atom_site_fract_x
_atom_site_fract_y
_atom_site_fract_z
Y1 0.0000 0.5000 0.0000
Si1 0.0000 0.0000 0.0000
Bi1 0.0000 0.0000 0.5000
Cl1 0.5000 0.5000 0.5000
# uncorrected formation energy	-0.188	eV/atom
# raw total energy	-5.003	eV per atom
# V	31.81	Å³ per atom

---

No. 3
# ZrSi2BiCl | Alexandria | PBE | optimized geometry
data_ZrSi2BiCl
_cell_length_a 5.3502
_cell_length_b 5.3502
_cell_length_c 5.6660
_cell_angle_alpha 90.00
_cell_angle_beta 90.00
_cell_angle_gamma 90.00
_space_group_name_H-M_alt 'P 4/m m m'
_space_group_IT_number 123
_space_group_name_Hall '-P 4 2'
loop_
_atom_site_label
_atom_site_fract_x
_atom_site_fract_y
_atom_site_fract_z
Zr1 0.0000 0.0000 0.0000
Si1 0.0000 0.5000 0.5000
Bi1 0.0000 0.0000 0.5000
Cl1 0.5000 0.5000 0.0000
# uncorrected formation energy	1.229	eV/atom
# raw total energy	-3.796	eV per atom
# V	32.44	Å³ per atom

---

No. 4
# SmBiCl6 | Alexandria | PBE | optimized geometry
data_SmBiCl6
_cell_length_a 6.7992
_cell_length_b 12.5735
_cell_length_c 6.7993
_cell_angle_alpha 90.00
_cell_angle_beta 106.04
_cell_angle_gamma 90.00
_space_group_name_H-M_alt 'C 1 2/m 1'
_space_group_IT_number 12
_space_group_name_Hall '-C 2y'
loop_
_atom_site_label
_atom_site_fract_x
_atom_site_fract_y
_atom_site_fract_z
Sm1 0.0000 0.0000 0.0000
Bi1 0.0000 0.5000 0.5000
Cl1 0.2494 0.0000 0.7516
Cl2 0.2495 0.1447 0.2494
# uncorrected formation energy	-1.599	eV/atom
# raw total energy	-4.059	eV per atom
# V	34.91	Å³ per atom

---

No. 5
# SmBiCl | Alexandria | PBE | optimized geometry
data_SmBiCl
_cell_length_a 5.0155
_cell_length_b 5.0155
_cell_length_c 3.8122
_cell_angle_alpha 90.00
_cell_angle_beta 90.00
_cell_angle_gamma 120.00
_space_group_name_H-M_alt 'P -6 m 2'
_space_group_IT_number 187
_space_group_name_Hall 'P -6 2'
loop_
_atom_site_label
_atom_site_fract_x
_atom_site_fract_y
_atom_site_fract_z
Sm1 0.0000 0.0000 0.0000
Bi1 0.6667 0.3333 0.5000
Cl1 0.3333 0.6667 0.0000
# uncorrected formation energy	-1.055	eV/atom
# raw total energy	-4.537	eV per atom
# V	27.68	Å³ per atom

---

No. 6
# SnBi2Cl8 | Alexandria | PBE | optimized geometry
data_SnBi2Cl8
_cell_length_a 14.0515
_cell_length_b 7.0147
_cell_length_c 8.6682
_cell_angle_alpha 90.00
_cell_angle_beta 94.75
_cell_angle_gamma 90.00
_space_group_name_H-M_alt 'C 1 2/m 1'
_space_group_IT_number 12
_space_group_name_Hall '-C 2y'
loop_
_atom_site_label
_atom_site_fract_x
_atom_site_fract_y
_atom_site_fract_z
Sn1 0.0000 0.0000 0.0000
Bi1 0.1423 0.0000 0.3837
Cl1 0.0655 0.0000 0.7000
Cl2 0.1391 0.2503 0.1653
Cl3 0.1766 0.5000 0.5555
# uncorrected formation energy	-0.910	eV/atom
# excess energy over the best structure of this formula in the dataset	0.018	eV/atom
# raw total energy	-3.323	eV per atom
# V	38.70	Å³ per atom

---

No. 7
# Sn3BiCl9 | Alexandria | PBE | optimized geometry
data_Sn3BiCl9
_cell_length_a 19.6029
_cell_length_b 9.6256
_cell_length_c 11.4001
_cell_angle_alpha 90.00
_cell_angle_beta 124.08
_cell_angle_gamma 90.00
_space_group_name_H-M_alt 'C 1 c 1'
_space_group_IT_number 9
_space_group_name_Hall 'C -2yc'
loop_
_atom_site_label
_atom_site_fract_x
_atom_site_fract_y
_atom_site_fract_z
Sn1 0.0000 0.0395 0.0000
Sn2 0.1566 0.4051 0.2412
Sn3 0.4458 0.0771 0.1601
Bi1 0.2391 0.1758 0.6959
Cl1 0.0052 0.2570 0.1422
Cl2 0.0893 0.2629 0.5853
Cl3 0.1103 0.4535 0.8816
Cl4 0.1528 0.0891 0.0958
Cl5 0.2539 0.2640 0.4639
Cl6 0.2666 0.1206 0.9413
Cl7 0.2991 0.4252 0.8031
Cl8 0.3985 0.0330 0.8092
Cl9 0.4513 0.3339 0.2575
# uncorrected formation energy	-0.969	eV/atom
# raw total energy	-3.470	eV per atom
# V	34.26	Å³ per atom

---

No. 8
# SnBi3Cl | Alexandria | PBE | optimized geometry
data_SnBi3Cl
_cell_length_a 5.8344
_cell_length_b 5.8344
_cell_length_c 5.8344
_cell_angle_alpha 90.00
_cell_angle_beta 90.00
_cell_angle_gamma 90.00
_space_group_name_H-M_alt 'P m -3 m'
_space_group_IT_number 221
_space_group_name_Hall '-P 4 2 3'
loop_
_atom_site_label
_atom_site_fract_x
_atom_site_fract_y
_atom_site_fract_z
Sn1 0.0000 0.0000 0.0000
Bi1 0.0000 0.0000 0.5000
Cl1 0.5000 0.5000 0.5000
# uncorrected formation energy	0.558	eV/atom
# excess energy over the best structure of this formula in the dataset	0.057	eV/atom
# raw total energy	-2.940	eV per atom
# V	39.72	Å³ per atom

---

No. 9
# SnBiCl3 | Alexandria | PBE | optimized geometry
data_SnBiCl3
_cell_length_a 5.5047
_cell_length_b 5.5047
_cell_length_c 5.5047
_cell_angle_alpha 90.00
_cell_angle_beta 90.00
_cell_angle_gamma 90.00
_space_group_name_H-M_alt 'P m -3 m'
_space_group_IT_number 221
_space_group_name_Hall '-P 4 2 3'
loop_
_atom_site_label
_atom_site_fract_x
_atom_site_fract_y
_atom_site_fract_z
Sn1 0.0000 0.0000 0.0000
Bi1 0.5000 0.5000 0.5000
Cl1 0.0000 0.0000 0.5000
# uncorrected formation energy	-0.332	eV/atom
# excess energy over the best structure of this formula in the dataset	0.000	eV/atom
# raw total energy	-3.017	eV per atom
# V	33.36	Å³ per atom

---

No. 10
# Sn2BiCl2 | Alexandria | PBE | optimized geometry
data_Sn2BiCl2
_cell_length_a 9.1778
_cell_length_b 9.1778
_cell_length_c 3.4606
_cell_angle_alpha 90.00
_cell_angle_beta 90.00
_cell_angle_gamma 90.00
_space_group_name_H-M_alt 'P 4/m b m'
_space_group_IT_number 127
_space_group_name_Hall '-P 4 2ab'
loop_
_atom_site_label
_atom_site_fract_x
_atom_site_fract_y
_atom_site_fract_z
Sn1 0.2155 0.2845 0.0000
Bi1 0.0000 0.0000 0.0000
Cl1 0.1237 0.6237 0.5000
# uncorrected formation energy	-0.362	eV/atom
# raw total energy	-3.478	eV per atom
# V	29.15	Å³ per atom

---

No. 11
# Sn2Bi2Cl | Alexandria | PBE | optimized geometry
data_Sn2Bi2Cl
_cell_length_a 4.7826
_cell_length_b 4.7826
_cell_length_c 14.7458
_cell_angle_alpha 90.00
_cell_angle_beta 90.00
_cell_angle_gamma 90.00
_space_group_name_H-M_alt 'I 4/m m m'
_space_group_IT_number 139
_space_group_name_Hall '-I 4 2'
loop_
_atom_site_label
_atom_site_fract_x
_atom_site_fract_y
_atom_site_fract_z
Sn1 0.0000 0.5000 0.2500
Bi1 0.0000 0.0000 0.1182
Cl1 0.0000 0.0000 0.5000
# uncorrected formation energy	-0.143	eV/atom
# excess energy over the best structure of this formula in the dataset	0.000	eV/atom
# raw total energy	-3.665	eV per atom
# V	33.73	Å³ per atom

---

No. 12
# SnBi2Cl | Alexandria | PBE | optimized geometry
data_SnBi2Cl
_cell_length_a 7.4545
_cell_length_b 7.4545
_cell_length_c 11.6297
_cell_angle_alpha 90.00
_cell_angle_beta 90.00
_cell_angle_gamma 90.00
_space_group_name_H-M_alt 'I -4 2 d'
_space_group_IT_number 122
_space_group_name_Hall 'I -4 2bw'
loop_
_atom_site_label
_atom_site_fract_x
_atom_site_fract_y
_atom_site_fract_z
Sn1 0.0000 0.0000 0.0000
Bi1 0.2447 0.2500 0.1250
Cl1 0.0000 0.0000 0.5000
# uncorrected formation energy	0.075	eV/atom
# excess energy over the best structure of this formula in the dataset	0.186	eV/atom
# raw total energy	-3.327	eV per atom
# V	40.39	Å³ per atom

---

No. 13
# Sn2Bi2Cl | Alexandria | PBE | optimized geometry
data_Sn2Bi2Cl
_cell_length_a 8.6948
_cell_length_b 8.6948
_cell_length_c 4.0119
_cell_angle_alpha 90.00
_cell_angle_beta 90.00
_cell_angle_gamma 90.00
_space_group_name_H-M_alt 'P 4/m b m'
_space_group_IT_number 127
_space_group_name_Hall '-P 4 2ab'
loop_
_atom_site_label
_atom_site_fract_x
_atom_site_fract_y
_atom_site_fract_z
Sn1 0.1397 0.3603 0.0000
Bi1 0.1516 0.6516 0.5000
Cl1 0.0000 0.0000 0.5000
# uncorrected formation energy	-0.057	eV/atom
# excess energy over the best structure of this formula in the dataset	0.085	eV/atom
# raw total energy	-3.580	eV per atom
# V	30.33	Å³ per atom

---

No. 14
# SnBiCl4 | Alexandria | PBE | optimized geometry
data_SnBiCl4
_cell_length_a 9.9030
_cell_length_b 12.0122
_cell_length_c 7.0268
_cell_angle_alpha 90.00
_cell_angle_beta 108.66
_cell_angle_gamma 90.00
_space_group_name_H-M_alt 'C 1 2/c 1'
_space_group_IT_number 15
_space_group_name_Hall '-C 2yc'
loop_
_atom_site_label
_atom_site_fract_x
_atom_site_fract_y
_atom_site_fract_z
Sn1 0.0000 0.1147 0.2500
Bi1 0.0000 0.4829 0.2500
Cl1 0.0154 0.2882 0.0165
Cl2 0.2093 0.0190 0.6130
# uncorrected formation energy	-0.810	eV/atom
# raw total energy	-3.355	eV per atom
# V	33.00	Å³ per atom

---

No. 15
# SnBiCl3 | Alexandria | PBE | optimized geometry
data_SnBiCl3
_cell_length_a 5.5588
_cell_length_b 5.5588
_cell_length_c 5.5588
_cell_angle_alpha 90.00
_cell_angle_beta 90.00
_cell_angle_gamma 90.00
_space_group_name_H-M_alt 'P m -3 m'
_space_group_IT_number 221
_space_group_name_Hall '-P 4 2 3'
loop_
_atom_site_label
_atom_site_fract_x
_atom_site_fract_y
_atom_site_fract_z
Sn1 0.0000 0.0000 0.0000
Bi1 0.5000 0.5000 0.5000
Cl1 0.0000 0.5000 0.5000
# uncorrected formation energy	-0.242	eV/atom
# excess energy over the best structure of this formula in the dataset	0.090	eV/atom
# raw total energy	-2.927	eV per atom
# V	34.35	Å³ per atom

---

No. 16
# SnBi3Cl | Alexandria | PBE | optimized geometry
data_SnBi3Cl
_cell_length_a 5.5433
_cell_length_b 5.5433
_cell_length_c 5.5433
_cell_angle_alpha 90.00
_cell_angle_beta 90.00
_cell_angle_gamma 90.00
_space_group_name_H-M_alt 'P m -3 m'
_space_group_IT_number 221
_space_group_name_Hall '-P 4 2 3'
loop_
_atom_site_label
_atom_site_fract_x
_atom_site_fract_y
_atom_site_fract_z
Sn1 0.0000 0.0000 0.0000
Bi1 0.0000 0.5000 0.5000
Cl1 0.5000 0.5000 0.5000
# uncorrected formation energy	0.501	eV/atom
# excess energy over the best structure of this formula in the dataset	0.000	eV/atom
# raw total energy	-2.997	eV per atom
# V	34.07	Å³ per atom

---

No. 17
# SnBi2Cl | Alexandria | PBE | optimized geometry
data_SnBi2Cl
_cell_length_a 7.5846
_cell_length_b 7.5846
_cell_length_c 7.5846
_cell_angle_alpha 90.00
_cell_angle_beta 90.00
_cell_angle_gamma 90.00
_space_group_name_H-M_alt 'F m -3 m'
_space_group_IT_number 225
_space_group_name_Hall '-F 4 2 3'
loop_
_atom_site_label
_atom_site_fract_x
_atom_site_fract_y
_atom_site_fract_z
Sn1 0.0000 0.0000 0.0000
Bi1 0.2500 0.2500 0.2500
Cl1 0.0000 0.0000 0.5000
# uncorrected formation energy	-0.110	eV/atom
# excess energy over the best structure of this formula in the dataset	0.000	eV/atom
# raw total energy	-3.513	eV per atom
# V	27.27	Å³ per atom

---

No. 18
# Sn2Bi2Cl | Alexandria | PBE | optimized geometry
data_Sn2Bi2Cl
_cell_length_a 8.6268
_cell_length_b 8.6268
_cell_length_c 4.0408
_cell_angle_alpha 90.00
_cell_angle_beta 90.00
_cell_angle_gamma 90.00
_space_group_name_H-M_alt 'P 4/m b m'
_space_group_IT_number 127
_space_group_name_Hall '-P 4 2ab'
loop_
_atom_site_label
_atom_site_fract_x
_atom_site_fract_y
_atom_site_fract_z
Sn1 0.1539 0.3461 0.0000
Bi1 0.1411 0.6411 0.5000
Cl1 0.0000 0.0000 0.0000
# uncorrected formation energy	-0.065	eV/atom
# excess energy over the best structure of this formula in the dataset	0.078	eV/atom
# raw total energy	-3.588	eV per atom
# V	30.07	Å³ per atom

---

No. 19
# Sn2BiCl7 | Alexandria | PBE | optimized geometry
data_Sn2BiCl7
_cell_length_a 15.6931
_cell_length_b 10.3030
_cell_length_c 11.1922
_cell_angle_alpha 90.00
_cell_angle_beta 124.10
_cell_angle_gamma 90.00
_space_group_name_H-M_alt 'C 1 2/c 1'
_space_group_IT_number 15
_space_group_name_Hall '-C 2yc'
loop_
_atom_site_label
_atom_site_fract_x
_atom_site_fract_y
_atom_site_fract_z
Sn1 0.0649 0.1923 0.1248
Bi1 0.0000 0.2383 0.7500
Cl1 0.0000 0.3514 0.2500
Cl2 0.1115 0.0512 0.9251
Cl3 0.1125 0.2133 0.6298
Cl4 0.1186 0.3781 0.0289
# uncorrected formation energy	-0.957	eV/atom
# raw total energy	-3.438	eV per atom
# V	37.46	Å³ per atom

---

No. 20
# SnBi2Cl8 | Alexandria | PBE | optimized geometry
data_SnBi2Cl8
_cell_length_a 19.2241
_cell_length_b 3.8463
_cell_length_c 9.6367
_cell_angle_alpha 90.00
_cell_angle_beta 91.71
_cell_angle_gamma 90.00
_space_group_name_H-M_alt 'C 1 2/m 1'
_space_group_IT_number 12
_space_group_name_Hall '-C 2y'
loop_
_atom_site_label
_atom_site_fract_x
_atom_site_fract_y
_atom_site_fract_z
Sn1 0.0000 0.0000 0.0000
Bi1 0.1580 0.5000 0.7204
Cl1 0.0072 0.5000 0.7844
Cl2 0.1020 0.0000 0.5474
Cl3 0.1478 0.0000 0.9452
Cl4 0.2372 0.5000 0.3088
# uncorrected formation energy	-0.928	eV/atom
# excess energy over the best structure of this formula in the dataset	0.000	eV/atom
# raw total energy	-3.341	eV per atom
# V	32.37	Å³ per atom